No. 1
The following is a GGA-PBE calculation of a relaxed ErZnInPd crystal, from Alexandria.

Formation enthalpy at 0 K (kJ/mol of atoms): -57.0
DFT total energy (eV/f.u.): -16.129
Density (g/cm3): 9.70

a b c (Å): 6.773 6.773 6.773
angles (deg): 90.00 90.00 90.00
Space group F-43m (No. 216)
Symmetry-distinct sites (fractional):
1 Er 0.000 0.000 0.000 [4 per cell]
2 Zn 0.250 0.250 0.250 [4 per cell]
3 In 0.000 0.000 0.500 [4 per cell]
4 Pd 0.250 0.250 0.750 [4 per cell]

No. 2
The following is a GGA-PBE calculation of a relaxed K3Pt crystal, from Alexandria.

Formation enthalpy at 0 K (kJ/mol of atoms): 7.3
DFT total energy (eV/f.u.): -9.030
Density (g/cm3): 2.99

a b c (Å): 4.567 10.157 7.473
angles (deg): 90.00 90.00 90.00
Space group Imm2 (No. 44)
Symmetry-distinct sites (fractional):
1 K 0.000 0.000 0.000 [2 per cell]
2 K 0.000 0.183 0.476 [4 per cell]
3 Pt 0.000 0.500 0.784 [2 per cell]

No. 3
The following is a GGA-PBE calculation of a relaxed Cs2NaHgI crystal, from Alexandria.

DFT total energy (eV/f.u.): -7.282
Density (g/cm3): 2.95
Uncorrected formation energy (eV/atom): -0.481

a b c (Å): 7.489 7.489 6.193
angles (deg): 90.00 90.00 90.00
Space group P4/mmm (No. 123)
Symmetry-distinct sites (fractional):
1 Cs 0.000 0.500 0.000 [2 per cell]
2 Na 0.000 0.000 0.500 [1 per cell]
3 Hg 0.500 0.500 0.500 [1 per cell]
4 I 0.000 0.000 0.000 [1 per cell]

No. 4
The following is a GGA-PBE calculation of a relaxed Tb3Mg2Hg6 crystal, from Alexandria.

Formation enthalpy at 0 K (kJ/mol of atoms): -12.8
DFT total energy (eV/f.u.): -20.353
Density (g/cm3): 8.97

a b c (Å): 5.044 5.044 25.171
angles (deg): 90.00 90.00 90.00
Space group I4/mmm (No. 139)
Symmetry-distinct sites (fractional):
1 Tb 0.000 0.000 0.000 [2 per cell]
2 Tb 0.000 0.000 0.146 [4 per cell]
3 Mg 0.000 0.000 0.379 [4 per cell]
4 Hg 0.000 0.000 0.267 [4 per cell]
5 Hg 0.000 0.500 0.070 [8 per cell]

No. 5
The following is a GGA-PBE calculation of a relaxed MnCu crystal, from Alexandria.

Formation enthalpy at 0 K (kJ/mol of atoms): 29.5
DFT total energy (eV/f.u.): -12.655
Density (g/cm3): 8.55

a b c (Å): 3.269 3.920 7.187
angles (deg): 90.00 90.00 90.00
Space group Imma (No. 74)
Symmetry-distinct sites (fractional):
1 Mn 0.000 0.250 0.148 [4 per cell]
2 Cu 0.000 0.250 0.621 [4 per cell]

No. 6
The following is a GGA-PBE calculation of a relaxed Zn2Te crystal, from Alexandria.

DFT total energy (eV/f.u.): -5.699
Density (g/cm3): 6.52
Uncorrected formation energy (eV/atom): -0.003
ΔE to the lowest computed polymorph (meV/atom): 118

a b c (Å): 5.3198 5.3198 8.0565
angles (deg): 90.00 90.00 120.00
Space group R-3m (No. 166, hexagonal axes)
Symmetry-distinct sites (fractional):
1 Zn 0.0000 0.0000 0.1548 [6 per cell]
2 Te 0.0000 0.0000 0.5000 [3 per cell]